Computed, not measured: a relaxed structure of TaCrBr2 at the PBE-GGA level of DFT.

**Energy above the most stable polymorph in this dataset**: 53.8 kJ per mole of atoms
**Crystal system**: monoclinic
**E_form (uncorrected)**: 614.5 meV/atom
**Total energy**: -5.591 eV/atom

a b c (Å): 5.701 5.620 3.227
angles (deg): 70.02 96.17 122.55
Site moments in Bohr magnetons follow the coordinates.
Sites, in units of the cell vectors:
Br: 0.000 0.000 0.000  -0.01
Br: 0.500 0.000 0.500  -0.01
Cr: 0.000 0.500 0.500  3.62
Ta: 0.500 0.500 0.000  -0.39